Material: Co4Hg3
Method: DFT, PBE
State: optimized geometry

Output
Magnetization in μB/atom: 0.955
DOS(E_F) in states/eV per cell: 10.62
E_form in eV per atom: 0.33

Lattice parameters (Å, degrees): 2.9048 2.9048 26.0986 90.00 90.00 90.00
Space group I4/mmm (No. 139)
Inequivalent atoms, fractional coordinates:
Co (0.0000, 0.0000, 0.0752)
Co (0.0000, 0.0000, 0.3773)
Hg (0.0000, 0.0000, 0.1983)
Hg (0.0000, 0.0000, 0.5000)